Ho2CoGeO6: optimized geometry, PBE+U.

Unit cell a=5.2804 b=5.6310 c=9.1880 alpha=90.00 beta=124.44 gamma=90.00
Space group P2_1/c (No. 14)
Asymmetric unit:
Ho (0.2275, 0.0729, 0.2493) (multiplicity 4)
Co (0.0000, 0.0000, 0.5000) (multiplicity 2)
Ge (0.5000, 0.0000, 0.0000) (multiplicity 2)
O (0.1495, 0.1815, 0.9456) (multiplicity 4)
O (0.2607, 0.7083, 0.9373) (multiplicity 4)
O (0.3779, 0.0422, 0.7612) (multiplicity 4)

Output
The calculation puts the total energy at -148.0 eV per cell.